# Li3Fe3SiO8

Crystalline Li3Fe3SiO8 at its relaxed geometry (GGA+U, Alexandria).

abc: 5.752 5.122 5.224
angles: 70.17 90.00 90.00
Fractional positions:
1 Li 0.500 0.000 0.000
2 Li 0.758 0.500 0.000
3 Li 0.242 0.500 0.000
4 Fe 0.750 0.000 0.500
5 Fe 0.250 0.000 0.500
6 Fe 0.500 0.500 0.500
7 Si 0.000 0.500 0.500
8 O 0.000 0.723 0.702
9 O 0.764 0.715 0.296
10 O 0.500 0.774 0.743
11 O 0.764 0.285 0.704
12 O 0.236 0.715 0.296
13 O 0.000 0.277 0.298
14 O 0.500 0.226 0.257
15 O 0.236 0.285 0.704

- Energy: -95.54 eV for the cell shown
- Magnetic moment: 13.00 μB per formula unit
- Symmetry: P2/m, No. 10